1.
First-principles (PBE-GGA) data for crystalline Zn3SiAs4 at its relaxed geometry, as listed in the Alexandria database.

Calculated values
**ΔE_f (raw)**: -0.08 eV per atom
**Volume**: 180.6 Å³/f.u.
**Total energy**: -3.56 eV per atom

a b c (Å): 6.773 6.837 7.800
angles (deg): 90.00 90.00 90.00
Fractional positions:
As 0.132 0.842 0.000
Zn 0.994 0.160 0.500
Si 0.002 0.166 0.000
Zn 0.491 0.335 0.248
As 0.629 0.672 0.746
As 0.129 0.328 0.246
Zn 0.991 0.665 0.252
As 0.148 0.831 0.500
As 0.632 0.158 0.500
As 0.648 0.169 0.000
Zn 0.494 0.840 0.000
Zn 0.991 0.665 0.748
Zn 0.491 0.335 0.752
As 0.129 0.328 0.754
Si 0.502 0.834 0.500
As 0.629 0.672 0.254

2.
First-principles (PBE-GGA) data for crystalline BeB at its relaxed geometry, as listed in the Alexandria database.

Calculated values
**Relative energy among the computed polymorphs**: 160 meV per atom
**Volume**: 15.0 Å³/f.u.
**Energy of formation from the pure elements**: 191 meV per atom
**Total energy**: -5.01 eV per atom

a b c (Å): 2.929 3.663 3.705
angles (deg): 60.52 64.61 64.13
Fractional positions:
B 0.323 0.332 0.063
Be 0.009 0.422 0.601
Be 0.629 0.796 0.970
B 0.813 0.112 0.303

3.
First-principles (PBE-GGA) data for crystalline CdFeBiOs2 at its relaxed geometry, as listed in the Alexandria database.

Calculated values
**Volume**: 120.2 Å³/f.u.
**Energy of formation from the pure elements**: 2261 meV per atom
**Total energy**: -4.88 eV per atom

a b c (Å): 4.999 4.809 4.999
angles (deg): 90.00 90.00 90.00
Fractional positions:
Os 0.000 0.000 0.500
Cd 0.500 0.500 0.500
Fe 0.000 0.500 0.000
Bi 0.000 0.000 0.000
Os 0.500 0.000 0.000

4.
First-principles (PBE-GGA) data for crystalline LaCr2Au at its relaxed geometry, as listed in the Alexandria database.

Calculated values
**Relative energy among the computed polymorphs**: 344 meV per atom
**Volume**: 92.9 Å³/f.u.
**Energy of formation from the pure elements**: 406 meV per atom
**Total energy**: -6.46 eV per atom

a b c (Å): 4.705 4.436 4.452
angles (deg): 89.99 90.00 90.00
Fractional positions:
Cr 0.000 0.750 0.046
Au 0.500 0.750 0.750
Cr 0.000 0.750 0.454
La 0.500 0.250 0.250

5.
First-principles (PBE-GGA) data for crystalline PmY5Ho2Th at its relaxed geometry, as listed in the Alexandria database.

Calculated values
**Volume**: 299.2 Å³/f.u.
**Energy of formation from the pure elements**: 160 meV per atom
**Total energy**: -5.80 eV per atom

a b c (Å): 5.755 11.049 9.749
angles (deg): 90.00 90.00 105.10
Fractional positions:
Ho 0.888 0.776 0.822
Ho 0.112 0.224 0.322
Y 0.611 0.221 0.537
Y 0.734 0.467 0.837
Ho 0.869 0.738 0.210
Y 0.472 0.944 0.743
Y 0.986 0.973 0.514
Y 0.266 0.533 0.337
Th 0.811 0.621 0.524
Pm 0.596 0.193 0.925
Y 0.014 0.027 0.014
Y 0.389 0.779 0.037
Ho 0.131 0.262 0.710
Y 0.695 0.391 0.212
Pm 0.404 0.807 0.425
Y 0.305 0.609 0.712
Y 0.528 0.056 0.243
Th 0.189 0.379 0.024

6.
First-principles (PBE-GGA) data for crystalline AlIrAu at its relaxed geometry, as listed in the Alexandria database.

Calculated values
**Relative energy among the computed polymorphs**: 110 meV per atom
**Volume**: 50.8 Å³/f.u.
**Energy of formation from the pure elements**: -268 meV per atom
**Total energy**: -5.56 eV per atom

a b c (Å): 4.158 4.158 4.158
angles (deg): 60.00 60.00 60.00
Fractional positions:
Ir 0.500 0.500 0.500
Au 0.000 0.000 0.000
Al 0.750 0.750 0.750

7.
First-principles (PBE-GGA) data for crystalline HfTiNbCd2 at its relaxed geometry, as listed in the Alexandria database.

Calculated values
**Volume**: 119.2 Å³/f.u.
**Energy of formation from the pure elements**: 1317 meV per atom
**Total energy**: -4.63 eV per atom

a b c (Å): 5.034 4.703 5.034
angles (deg): 90.00 90.00 90.00
Fractional positions:
Cd 0.500 0.000 0.000
Cd 0.000 0.000 0.500
Nb 0.500 0.500 0.500
Ti 0.000 0.000 0.000
Hf 0.000 0.500 0.000

8.
First-principles (PBE-GGA) data for crystalline RbNa4Tl15 at its relaxed geometry, as listed in the Alexandria database.

Calculated values
**Volume**: 604.9 Å³/f.u.
**Energy of formation from the pure elements**: -45 meV per atom
**Total energy**: -2.13 eV per atom

a b c (Å): 4.910 4.910 25.093
angles (deg): 90.00 90.00 90.00
Fractional positions:
Tl 0.000 0.500 0.888
Na 0.000 0.000 0.598
Tl 0.000 0.500 0.112
Tl 0.500 0.000 0.695
Tl 0.000 0.500 0.695
Tl 0.500 0.000 0.112
Tl 0.000 0.500 0.500
Tl 0.500 0.500 0.208
Rb 0.000 0.000 0.000
Tl 0.500 0.000 0.500
Tl 0.000 0.500 0.305
Tl 0.500 0.500 0.596
Tl 0.500 0.500 0.000
Tl 0.500 0.000 0.305
Tl 0.500 0.500 0.404
Na 0.000 0.000 0.209
Na 0.000 0.000 0.791
Tl 0.500 0.000 0.888
Na 0.000 0.000 0.402
Tl 0.500 0.500 0.792